Density functional theory data (PBE with a Hubbard U) for a relaxed Mn2Co2O5 crystal.

Calculated values
Raw total energy ... -57.51 eV/f.u.
Density of states at the Fermi level ... 3.5 states/eV per cell
ρ ... 5.2 g/cm³
Space group ... P4/mmm, No. 123
Total magnetic moment ... 15.50 μB/f.u.

Unit cell a=3.7519 b=3.7519 c=7.0275 alpha=90.00 beta=90.00 gamma=90.00
Site moments in Bohr magnetons follow the coordinates.
Positions (direct):
1 O 0.0000 0.5000 0.2023  0.11
2 O 0.5000 0.0000 0.2023  0.11
3 O 0.0000 0.5000 0.7977  0.11
4 O 0.5000 0.0000 0.7977  0.11
5 O 0.5000 0.5000 0.5000  0.37
6 Mn 0.0000 0.0000 0.0000  4.63
7 Mn 0.0000 0.0000 0.5000  4.71
8 Co 0.5000 0.5000 0.2348  2.40
9 Co 0.5000 0.5000 0.7652  2.40